Computed, not measured: a relaxed Cu3Te crystal at the PBE-GGA level of DFT.

Unit cell a=3.025 b=4.215 c=5.575 alpha=90.00 beta=105.40 gamma=90.00
Fractional coordinates of all 4 atoms:
Cu: 0.000 0.000 0.000
Cu: 0.179 0.500 0.812
Cu: 0.821 0.500 0.188
Te: 0.000 0.000 0.500

Computed properties:
- N(E_F) (states/eV per cell) = 1.5
- space group = P2/m (10)
- raw total energy (eV for the cell shown) = -14.55
- formation energy from raw total energies (eV/atom) = 0.221
- size of the total moment (μB/atom) = 0.0000